This record from Alexandria via LeMat-Bulk describes MgVTe2I after structural relaxation. The functional is GGA-PBE.

Output
* size of the total moment: 0.2 μB per formula unit
* energy above the lowest structure with this stoichiometry: 664 meV per atom
* space group: P4/mmm, No. 123
* crystal system: tetragonal
* electronic total energy: -14.945 eV per formula unit

Structure (POSCAR):
```
MgVTe2I
1.0
5.471 0.000 0.000
0.000 5.471 0.000
0.000 0.000 5.489
Mg V Te I
1 1 2 1
Direct
0.000 0.000 0.000 Mg
0.500 0.500 0.500 V
0.000 0.500 0.000 Te
0.500 0.000 0.000 Te
0.000 0.000 0.500 I
```

---

This record from Alexandria via LeMat-Bulk describes MgVTe2I after structural relaxation. The functional is GGA-PBE.

Output
* size of the total moment: 1.7 μB per formula unit
* energy above the lowest structure with this stoichiometry: 0 meV per atom
* space group: P4/mmm, No. 123
* crystal system: tetragonal
* electronic total energy: -18.264 eV per formula unit

Structure (POSCAR):
```
MgVTe2I
1.0
5.222 0.000 0.000
0.000 5.222 0.000
0.000 0.000 5.777
Mg V Te I
1 1 2 1
Direct
0.000 0.000 0.000 Mg
0.500 0.500 0.500 V
0.000 0.500 0.500 Te
0.500 0.000 0.500 Te
0.500 0.500 0.000 I
```

---

This record from Alexandria via LeMat-Bulk describes MgVTeI2 after structural relaxation. The functional is GGA-PBE.

Output
* size of the total moment: 2.4 μB per formula unit
* energy above the lowest structure with this stoichiometry: 0 meV per atom
* space group: P4/mmm, No. 123
* crystal system: tetragonal
* electronic total energy: -16.990 eV per formula unit

Structure (POSCAR):
```
MgVTeI2
1.0
5.578 0.000 0.000
0.000 5.578 0.000
0.000 0.000 5.326
Mg V Te I
1 1 1 2
Direct
0.000 0.000 0.000 Mg
0.500 0.500 0.500 V
0.500 0.500 0.000 Te
0.000 0.500 0.500 I
0.500 0.000 0.500 I
```

---

This record from Alexandria via LeMat-Bulk describes MgTe2WI after structural relaxation. The functional is GGA-PBE.

Output
* size of the total moment: 3.4 μB per formula unit
* energy above the lowest structure with this stoichiometry: 654 meV per atom
* space group: P4/mmm, No. 123
* crystal system: tetragonal
* electronic total energy: -16.620 eV per formula unit

Structure (POSCAR):
```
MgTe2WI
1.0
5.494 0.000 0.000
0.000 5.494 0.000
0.000 0.000 5.337
Mg Te W I
1 2 1 1
Direct
0.000 0.000 0.000 Mg
0.000 0.500 0.000 Te
0.500 0.000 0.000 Te
0.500 0.500 0.500 W
0.000 0.000 0.500 I
```

---

This record from Alexandria via LeMat-Bulk describes MgTe2WI after structural relaxation. The functional is GGA-PBE.

Output
* size of the total moment: 0.7 μB per formula unit
* energy above the lowest structure with this stoichiometry: 0 meV per atom
* space group: P4/mmm, No. 123
* crystal system: tetragonal
* electronic total energy: -19.892 eV per formula unit

Structure (POSCAR):
```
MgTe2WI
1.0
5.277 0.000 0.000
0.000 5.277 0.000
0.000 0.000 5.814
Mg Te W I
1 2 1 1
Direct
0.000 0.000 0.000 Mg
0.000 0.500 0.500 Te
0.500 0.000 0.500 Te
0.500 0.500 0.500 W
0.500 0.500 0.000 I
```

---

This record from Alexandria via LeMat-Bulk describes YMgTe2I after structural relaxation. The functional is GGA-PBE.

Output
* size of the total moment: 0.0 μB per formula unit
* energy above the lowest structure with this stoichiometry: 41 meV per atom
* space group: P4/mmm, No. 123
* crystal system: tetragonal
* electronic total energy: -17.941 eV per formula unit

Structure (POSCAR):
```
YMgTe2I
1.0
5.558 0.000 0.000
0.000 5.558 0.000
0.000 0.000 5.333
Y Mg Te I
1 1 2 1
Direct
0.000 0.000 0.000 Y
0.500 0.500 0.500 Mg
0.000 0.500 0.500 Te
0.500 0.000 0.500 Te
0.500 0.500 0.000 I
```

---

This record from Alexandria via LeMat-Bulk describes YMgTe2I after structural relaxation. The functional is GGA-PBE.

Output
* size of the total moment: 0.0 μB per formula unit
* energy above the lowest structure with this stoichiometry: 0 meV per atom
* space group: P4/mmm, No. 123
* crystal system: tetragonal
* electronic total energy: -18.146 eV per formula unit

Structure (POSCAR):
```
YMgTe2I
1.0
5.914 0.000 0.000
0.000 5.914 0.000
0.000 0.000 5.886
Y Mg Te I
1 1 2 1
Direct
0.000 0.000 0.000 Y
0.500 0.500 0.500 Mg
0.000 0.500 0.000 Te
0.500 0.000 0.000 Te
0.000 0.000 0.500 I
```

---

This record from Alexandria via LeMat-Bulk describes MgZrTeI2 after structural relaxation. The functional is GGA-PBE.

Output
* size of the total moment: 2.0 μB per formula unit
* energy above the lowest structure with this stoichiometry: 424 meV per atom
* space group: P4/mmm, No. 123
* crystal system: tetragonal
* electronic total energy: -15.747 eV per formula unit

Structure (POSCAR):
```
MgZrTeI2
1.0
5.438 0.000 0.000
0.000 5.438 0.000
0.000 0.000 5.658
Mg Zr Te I
1 1 1 2
Direct
0.000 0.000 0.000 Mg
0.500 0.500 0.500 Zr
0.000 0.000 0.500 Te
0.000 0.500 0.000 I
0.500 0.000 0.000 I
```

---

This record from Alexandria via LeMat-Bulk describes MgZrTe2I after structural relaxation. The functional is GGA-PBE.

Output
* size of the total moment: 0.0 μB per formula unit
* energy above the lowest structure with this stoichiometry: 0 meV per atom
* space group: P4/mmm, No. 123
* crystal system: tetragonal
* electronic total energy: -19.284 eV per formula unit

Structure (POSCAR):
```
MgZrTe2I
1.0
5.635 0.000 0.000
0.000 5.635 0.000
0.000 0.000 5.767
Mg Zr Te I
1 1 2 1
Direct
0.000 0.000 0.000 Mg
0.500 0.500 0.500 Zr
0.000 0.500 0.500 Te
0.500 0.000 0.500 Te
0.500 0.500 0.000 I
```

---

This record from Alexandria via LeMat-Bulk describes MgZrTe2I after structural relaxation. The functional is GGA-PBE.

Output
* size of the total moment: 1.3 μB per formula unit
* energy above the lowest structure with this stoichiometry: 474 meV per atom
* space group: P4/mmm, No. 123
* crystal system: tetragonal
* electronic total energy: -16.915 eV per formula unit

Structure (POSCAR):
```
MgZrTe2I
1.0
5.447 0.000 0.000
0.000 5.447 0.000
0.000 0.000 5.379
Mg Zr Te I
1 1 2 1
Direct
0.000 0.000 0.000 Mg
0.500 0.500 0.500 Zr
0.000 0.500 0.000 Te
0.500 0.000 0.000 Te
0.000 0.000 0.500 I
```

---

This record from Alexandria via LeMat-Bulk describes MgZrTeI2 after structural relaxation. The functional is GGA-PBE.

Output
* size of the total moment: 0.0 μB per formula unit
* energy above the lowest structure with this stoichiometry: 0 meV per atom
* space group: P4/mmm, No. 123
* crystal system: tetragonal
* electronic total energy: -17.868 eV per formula unit

Structure (POSCAR):
```
MgZrTeI2
1.0
5.790 0.000 0.000
0.000 5.790 0.000
0.000 0.000 5.630
Mg Zr Te I
1 1 1 2
Direct
0.000 0.000 0.000 Mg
0.500 0.500 0.500 Zr
0.500 0.500 0.000 Te
0.000 0.500 0.500 I
0.500 0.000 0.500 I
```

---

This record from Alexandria via LeMat-Bulk describes ThMgI after structural relaxation. The functional is GGA-PBE.

Output
* size of the total moment: 0.0 μB per formula unit
* space group: Amm2, No. 38
* crystal system: orthorhombic
* electronic total energy: -11.252 eV per formula unit

Structure (POSCAR):
```
ThMgI
1.0
16.503 0.000 0.000
0.000 1.894 3.282
0.000 -1.894 3.282
Th Mg I
2 2 2
Direct
0.159 0.000 0.000 Th
0.841 0.000 0.000 Th
0.000 0.667 0.667 Mg
0.500 0.943 0.943 Mg
0.303 0.667 0.667 I
0.697 0.667 0.667 I
```

---

This record from Alexandria via LeMat-Bulk describes ThMg2I8 after structural relaxation. The functional is GGA-PBE.

Output
* size of the total moment: 0.2 μB per formula unit
* space group: C2/m, No. 12
* crystal system: monoclinic
* electronic total energy: -34.394 eV per formula unit

Structure (POSCAR):
```
ThMg2I8
1.0
7.999 -4.802 0.000
7.999 4.802 0.000
-0.220 0.000 7.343
Th Mg I
1 2 8
Direct
0.000 0.000 0.000 Th
0.178 0.178 0.619 Mg
0.822 0.822 0.381 Mg
0.141 0.699 0.246 I
0.164 0.164 0.235 I
0.301 0.859 0.754 I
0.337 0.337 0.712 I
0.663 0.663 0.288 I
0.699 0.141 0.246 I
0.836 0.836 0.765 I
0.859 0.301 0.754 I
```

---

This record from Alexandria via LeMat-Bulk describes ThMgI6 after structural relaxation. The functional is GGA-PBE.

Output
* size of the total moment: 0.0 μB per formula unit
* energy above the lowest structure with this stoichiometry: 55 meV per atom
* space group: R-3, No. 148
* crystal system: trigonal
* electronic total energy: -26.980 eV per formula unit

Structure (POSCAR):
```
ThMgI6
1.0
3.804 2.196 6.893
-3.804 2.196 6.893
0.000 -4.392 6.893
Th Mg I
1 1 6
Direct
0.000 0.000 0.000 Th
0.500 0.500 0.500 Mg
0.103 0.745 0.408 I
0.255 0.592 0.897 I
0.408 0.103 0.745 I
0.592 0.897 0.255 I
0.745 0.408 0.103 I
0.897 0.255 0.592 I
```

---

This record from Alexandria via LeMat-Bulk describes ThMgI6 after structural relaxation. The functional is GGA-PBE.

Output
* size of the total moment: 0.0 μB per formula unit
* energy above the lowest structure with this stoichiometry: 0 meV per atom
* space group: C2/m, No. 12
* crystal system: monoclinic
* electronic total energy: -27.423 eV per formula unit

Structure (POSCAR):
```
ThMgI6
1.0
4.087 -7.032 0.000
4.087 7.032 0.000
-0.057 0.000 7.409
Th Mg I
1 1 6
Direct
0.000 0.000 0.000 Th
0.000 0.000 0.500 Mg
0.001 0.706 0.261 I
0.293 0.293 0.265 I
0.294 0.999 0.739 I
0.706 0.001 0.261 I
0.707 0.707 0.735 I
0.999 0.294 0.739 I
```

---

This record from Alexandria via LeMat-Bulk describes ThMgI2 after structural relaxation. The functional is GGA-PBE.

Output
* size of the total moment: 0.0 μB per formula unit
* space group: R-3m, No. 166
* crystal system: trigonal
* electronic total energy: -13.288 eV per formula unit

Structure (POSCAR):
```
ThMgI2
1.0
1.942 1.121 10.148
-1.942 1.121 10.148
0.000 -2.242 10.148
Th Mg I
1 1 2
Direct
0.000 0.000 0.000 Th
0.500 0.500 0.500 Mg
0.107 0.107 0.107 I
0.893 0.893 0.893 I
```

---

This record from Alexandria via LeMat-Bulk describes MgTi3I after structural relaxation. The functional is GGA-PBE.

Output
* size of the total moment: 2.6 μB per formula unit
* energy above the lowest structure with this stoichiometry: 0 meV per atom
* space group: Pm-3m, No. 221
* crystal system: cubic
* electronic total energy: -22.225 eV per formula unit

Structure (POSCAR):
```
MgTi3I
1.0
5.009 0.000 0.000
0.000 5.009 0.000
0.000 0.000 5.009
Mg Ti I
1 3 1
Direct
0.000 0.000 0.000 Mg
0.000 0.500 0.500 Ti
0.500 0.000 0.500 Ti
0.500 0.500 0.000 Ti
0.500 0.500 0.500 I
```

---

This record from Alexandria via LeMat-Bulk describes MgTiI6 after structural relaxation. The functional is GGA-PBE.

Output
* size of the total moment: 0.0 μB per formula unit
* space group: C2/m, No. 12
* crystal system: monoclinic
* electronic total energy: -24.755 eV per formula unit

Structure (POSCAR):
```
MgTiI6
1.0
3.552 -6.982 0.000
3.552 6.982 0.000
-2.535 0.000 6.636
Mg Ti I
1 1 6
Direct
0.000 0.000 0.000 Mg
0.500 0.500 0.500 Ti
0.112 0.398 0.255 I
0.268 0.268 0.731 I
0.398 0.112 0.255 I
0.602 0.888 0.745 I
0.732 0.732 0.269 I
0.888 0.602 0.745 I
```

---

This record from Alexandria via LeMat-Bulk describes Mg2Ti4I after structural relaxation. The functional is GGA-PBE.

Output
* size of the total moment: 4.3 μB per formula unit
* space group: I4/mmm, No. 139
* crystal system: tetragonal
* electronic total energy: -29.605 eV per formula unit

Structure (POSCAR):
```
Mg2Ti4I
1.0
-2.449 2.449 7.331
2.449 -2.449 7.331
2.449 2.449 -7.331
Mg Ti I
2 4 1
Direct
0.119 0.119 0.000 Mg
0.881 0.881 0.000 Mg
0.000 0.500 0.500 Ti
0.315 0.315 0.000 Ti
0.500 0.000 0.500 Ti
0.685 0.685 0.000 Ti
0.500 0.500 0.000 I
```

---

This record from Alexandria via LeMat-Bulk describes Mg2ZrTiI after structural relaxation. The functional is GGA-PBE.

Output
* size of the total moment: 0.4 μB per formula unit
* space group: P4/mmm, No. 123
* crystal system: tetragonal
* electronic total energy: -17.642 eV per formula unit

Structure (POSCAR):
```
Mg2ZrTiI
1.0
5.583 0.000 0.000
0.000 5.583 0.000
0.000 0.000 4.821
Mg Zr Ti I
2 1 1 1
Direct
0.000 0.500 0.000 Mg
0.500 0.000 0.000 Mg
0.000 0.000 0.500 Zr
0.000 0.000 0.000 Ti
0.500 0.500 0.500 I
```